# 1
Crystalline Pm7Tl2Sb2 at its relaxed geometry, computed with PBE.

abc: 8.5633 11.3357 7.6788
angles: 90.00 90.00 90.00
Space group Cmmm (No. 65)
Unique sites:
Pm  0.0000  0.0000  0.0000 [2 per cell]
Pm  0.0000  0.5000  0.2631 [4 per cell]
Pm  0.2500  0.2500  0.2803 [8 per cell]
Tl  0.1764  0.0000  0.5000 [4 per cell]
Sb  0.0000  0.2801  0.0000 [4 per cell]

Its energy relative to the elements, uncorrected is -0.34 eV/atom.

# 2
Crystalline PuGaCu2Au4 at its relaxed geometry, computed with PBE.

abc: 4.4560 4.4560 25.9662
angles: 90.00 90.00 120.00
Space group R-3m (No. 166, hexagonal axes)
Unique sites:
Pu  0.0000  0.0000  0.0000 [3 per cell]
Ga  0.0000  0.0000  0.5000 [3 per cell]
Cu  0.0000  0.0000  0.2433 [6 per cell]
Au  0.0000  0.0000  0.1287 [6 per cell]
Au  0.0000  0.0000  0.3970 [6 per cell]

The calculation puts the formation energy from the elements at -3.46 kcal/mol of atoms.

| no. | total energy (eV per formula unit) |
| --- | --- |
| 1 | -50.00 |
| 2 | -39.86 |